Tb8Tm2Th3 | the Alexandria database | PBE-GGA | relaxed; magnetic moment = 0.0 μB/f.u.; energy relative to the elements = 0.269 eV per atom; ρ = 8.79 g/cm3; Fermi-level density of states = 21.3 states/eV/cell; energy = -4.981 eV/atom
1.0
9.9054 -3.9301 0.0000
9.9054 3.9301 0.0000
-0.0065 0.0000 5.5953
Tb Tm Th
8 2 3
Direct
0.0971 0.6868 0.9994
0.1712 0.1712 0.5015
0.3132 0.9029 0.0006
0.3704 0.3704 0.5007
0.6296 0.6296 0.4993
0.6868 0.0971 0.9994
0.8288 0.8288 0.4985
0.9029 0.3132 0.0006
0.2608 0.2608 0.0017
0.7392 0.7392 0.9983
0.2051 0.7949 0.5000
0.5000 0.5000 0.0000
0.7949 0.2051 0.5000

---

Th2Ga5Ru3 | the Alexandria database | PBE-GGA | relaxed; magnetic moment = 0.4 μB/f.u.; energy relative to the elements = -0.560 eV per atom; ρ = 9.85 g/cm3; Fermi-level density of states = 15.4 states/eV/cell; energy = -6.340 eV/atom; relative energy among the computed polymorphs = 0 meV per atom
1.0
-5.0036 6.5000 2.8910
5.0036 -6.5000 2.8910
5.0036 6.5000 -2.8910
Th Ga Ru
4 10 6
Direct
0.1401 0.2250 0.3652
0.3599 0.7250 0.0849
0.6401 0.2750 0.9151
0.8599 0.7750 0.6348
0.0479 0.7500 0.2979
0.0879 0.6747 0.7626
0.2500 0.2500 0.0000
0.4121 0.1747 0.5868
0.4521 0.7500 0.7021
0.5479 0.2500 0.2979
0.5879 0.8253 0.4132
0.7500 0.7500 0.0000
0.9121 0.3253 0.2374
0.9521 0.2500 0.7021
0.1521 0.9098 0.0619
0.2500 0.7500 0.5000
0.3479 0.4098 0.7577
0.6521 0.5902 0.2423
0.7500 0.2500 0.5000
0.8479 0.0902 0.9381

---

KLiTaBr6 | the Alexandria database | PBE-GGA | relaxed; magnetic moment = 1.0 μB/f.u.; ρ = 3.82 g/cm3; formation energy (no corrections) = -10.6 eV per formula unit; Fermi-level density of states = 15.2 states/eV/cell; energy = -3.944 eV/atom
1.0
6.9817 0.0000 0.0000
-3.4908 6.0463 0.0000
0.0000 0.0000 14.5343
K Li Ta Br
2 2 2 12
Direct
0.0000 0.0000 0.0000
0.0000 0.0000 0.5000
0.3333 0.6667 0.2500
0.6667 0.3333 0.7500
0.3333 0.6667 0.7500
0.6667 0.3333 0.2500
0.0185 0.3777 0.6473
0.0185 0.6408 0.8527
0.3592 0.3777 0.8527
0.3592 0.9815 0.6473
0.3777 0.0185 0.1473
0.3777 0.3592 0.3527
0.6223 0.6408 0.6473
0.6223 0.9815 0.8527
0.6408 0.0185 0.3527
0.6408 0.6223 0.1473
0.9815 0.3592 0.1473
0.9815 0.6223 0.3527

---

La2Tl3SnS6 | the Alexandria database | PBE-GGA | relaxed; magnetic moment = 0.0 μB/f.u.; ρ = 5.88 g/cm3; formation energy (no corrections) = -13.4 eV per formula unit; Fermi-level density of states = 4.8 states/eV/cell; energy = -4.927 eV/atom
1.0
3.6406 -6.3046 0.0000
3.6406 6.3046 0.0000
-2.4206 0.0000 7.3989
La Tl Sn S
2 3 1 6
Direct
0.1662 0.8338 0.0000
0.8338 0.1662 0.0000
0.0000 0.0000 0.5000
0.3291 0.6709 0.5000
0.6709 0.3291 0.5000
0.5000 0.5000 0.0000
0.1131 0.4331 0.7982
0.2494 0.2494 0.2083
0.4331 0.1131 0.7982
0.5669 0.8869 0.2018
0.7506 0.7506 0.7917
0.8869 0.5669 0.2018

---

Dy6BeS5 | the Alexandria database | PBE-GGA | relaxed; magnetic moment = 0.0 μB/f.u.; ρ = 7.40 g/cm3; formation energy (no corrections) = -20.1 eV per formula unit; Fermi-level density of states = 3.7 states/eV/cell; energy = -6.008 eV/atom
1.0
3.4092 -5.8872 0.0000
3.4092 5.8872 0.0000
-2.2674 0.0000 6.3942
Dy Be S
6 1 5
Direct
0.0808 0.4056 0.7437
0.2425 0.2425 0.2553
0.4056 0.0808 0.7437
0.5944 0.9192 0.2563
0.7575 0.7575 0.7447
0.9192 0.5944 0.2563
0.0000 0.0000 0.5000
0.1709 0.8291 0.0000
0.3344 0.6656 0.5000
0.5000 0.5000 0.0000
0.6656 0.3344 0.5000
0.8291 0.1709 0.0000

---

SrCa2Cu | the Alexandria database | PBE-GGA | relaxed; magnetic moment = 0.0 μB/f.u.; energy relative to the elements = -0.004 eV per atom; ρ = 2.80 g/cm3; Fermi-level density of states = 3.6 states/eV/cell; energy = -2.450 eV/atom; relative energy among the computed polymorphs = 41 meV per atom
1.0
3.7296 0.0000 0.0000
0.0000 3.7483 0.0000
0.0000 0.0000 9.8238
Sr Ca Cu
1 2 1
Direct
0.0000 0.0000 0.0000
0.5000 0.5000 0.3264
0.5000 0.5000 0.6736
0.0000 0.0000 0.5000

---

PuThU | the Alexandria database | PBE-GGA | relaxed; magnetic moment = 3.3 μB/f.u.; energy relative to the elements = 0.245 eV per atom; ρ = 16.14 g/cm3; Fermi-level density of states = 8.0 states/eV/cell; energy = -10.768 eV/atom; relative energy among the computed polymorphs = 0 meV per atom
1.0
-1.7244 1.7244 6.1769
1.7244 -1.7244 6.1769
1.7244 1.7244 -6.1769
Pu Th U
1 1 1
Direct
0.0000 0.0000 0.0000
0.7028 0.7028 0.0000
0.4117 0.4117 0.0000

---

YTmRh2 | the Alexandria database | PBE-GGA | relaxed; magnetic moment = 0.0 μB/f.u.; energy relative to the elements = -0.902 eV per atom; ρ = 9.73 g/cm3; Fermi-level density of states = 2.4 states/eV/cell; energy = -7.312 eV/atom
1.0
0.0000 3.4072 3.4072
3.4072 0.0000 3.4072
3.4072 3.4072 0.0000
Y Tm Rh
1 1 2
Direct
0.0000 0.0000 0.0000
0.5000 0.5000 0.5000
0.2500 0.2500 0.2500
0.7500 0.7500 0.7500

---

Pr2Y3Sn2 | the Alexandria database | PBE-GGA | relaxed; magnetic moment = 1.2 μB/f.u.; energy relative to the elements = -0.490 eV per atom; ρ = 5.83 g/cm3; Fermi-level density of states = 8.2 states/eV/cell; energy = -5.769 eV/atom
1.0
6.1548 -2.2430 0.0000
6.1548 2.2430 0.0000
-3.0831 0.0000 8.1084
Pr Y Sn
2 3 2
Direct
0.1407 0.1407 0.2978
0.8593 0.8593 0.7022
0.3749 0.3749 0.0562
0.5000 0.5000 0.5000
0.6251 0.6251 0.9438
0.1657 0.1657 0.7075
0.8343 0.8343 0.2925

---

Dy2TmPu3Se6 | the Alexandria database | PBE-GGA | relaxed; magnetic moment = 5.7 μB/f.u.; ρ = 9.66 g/cm3; formation energy (no corrections) = -19.8 eV per formula unit; Fermi-level density of states = 27.9 states/eV/cell; energy = -8.118 eV/atom
1.0
8.9376 -2.0436 0.0000
8.9376 2.0436 0.0000
-1.8629 0.0000 7.9946
Dy Tm Pu Se
2 1 3 6
Direct
0.1664 0.1664 0.3363
0.8336 0.8336 0.6637
0.5000 0.5000 0.0000
0.1675 0.1675 0.8351
0.5000 0.5000 0.5000
0.8325 0.8325 0.1649
0.0011 0.0011 0.2434
0.3318 0.3318 0.4178
0.3358 0.3358 0.9136
0.6642 0.6642 0.0864
0.6682 0.6682 0.5822
0.9989 0.9989 0.7566

---

CePr2I | the Alexandria database | PBE-GGA | relaxed; magnetic moment = 1.5 μB/f.u.; ρ = 6.61 g/cm3; formation energy (no corrections) = -0.4 eV per formula unit; Fermi-level density of states = 7.9 states/eV/cell; energy = -4.363 eV/atom; relative energy among the computed polymorphs = 223 meV per atom
1.0
1.8256 1.0540 11.9387
-1.8256 1.0540 11.9387
0.0000 -2.1080 11.9387
Ce Pr I
1 2 1
Direct
0.0000 0.0000 0.0000
0.0944 0.0944 0.0944
0.9056 0.9056 0.9056
0.5000 0.5000 0.5000

---

Ce2PrErSe4 | the Alexandria database | PBE-GGA | relaxed; magnetic moment = 2.1 μB/f.u.; ρ = 7.26 g/cm3; formation energy (no corrections) = -14.4 eV per formula unit; Fermi-level density of states = 13.1 states/eV/cell; energy = -6.190 eV/atom
1.0
7.2492 0.0000 0.0000
0.0000 4.1477 0.0000
-2.3741 0.0000 6.8759
Ce Pr Er Se
2 1 1 4
Direct
0.0000 0.0000 0.0000
0.5000 0.5000 0.0000
0.0000 0.5000 0.5000
0.5000 0.0000 0.5000
0.2590 0.0000 0.7476
0.2628 0.5000 0.2596
0.7372 0.5000 0.7404
0.7410 0.0000 0.2524